No. 1
# In2MoAu | Alexandria | GGA-PBE | optimized geometry
data_In2MoAu
_space_group_name_H-M_alt 'F -4 3 m'
_space_group_IT_number 216
_space_group_name_Hall 'F -4 2 3'
_cell_length_a 6.873
_cell_length_b 6.873
_cell_length_c 6.873
_cell_angle_alpha 90.00
_cell_angle_beta 90.00
_cell_angle_gamma 90.00
loop_
_atom_site_label
_atom_site_type_symbol
_atom_site_fract_x
_atom_site_fract_y
_atom_site_fract_z
In1 In 0.000 0.000 0.000
In2 In 0.250 0.250 0.250
Mo1 Mo 0.250 0.250 0.750
Au1 Au 0.000 0.000 0.500
# distance to the lowest polymorph of the same formula	0.337	eV/atom
# volume	20.30	Å³ per atom

=====

No. 2
# In2MoAu | Alexandria | GGA-PBE | optimized geometry
data_In2MoAu
_space_group_name_H-M_alt 'P m m m'
_space_group_IT_number 47
_space_group_name_Hall '-P 2 2'
_cell_length_a 3.129
_cell_length_b 3.852
_cell_length_c 6.389
_cell_angle_alpha 90.00
_cell_angle_beta 90.00
_cell_angle_gamma 90.00
loop_
_atom_site_label
_atom_site_type_symbol
_atom_site_fract_x
_atom_site_fract_y
_atom_site_fract_z
In1 In 0.000 0.000 0.241
Mo1 Mo 0.500 0.500 0.000
Au1 Au 0.500 0.500 0.500
# distance to the lowest polymorph of the same formula	0.090	eV/atom
# volume	19.25	Å³ per atom

=====

No. 3
# InMoAu2 | Alexandria | GGA-PBE | optimized geometry
data_InMoAu2
_space_group_name_H-M_alt 'C m m m'
_space_group_IT_number 65
_space_group_name_Hall '-C 2 2'
_cell_length_a 5.810
_cell_length_b 8.755
_cell_length_c 2.863
_cell_angle_alpha 90.00
_cell_angle_beta 90.00
_cell_angle_gamma 90.00
loop_
_atom_site_label
_atom_site_type_symbol
_atom_site_fract_x
_atom_site_fract_y
_atom_site_fract_z
In1 In 0.000 0.000 0.000
Mo1 Mo 0.000 0.500 0.000
Au1 Au 0.250 0.250 0.500
# volume	18.20	Å³ per atom

=====

No. 4
# InMoAu2 | Alexandria | GGA-PBE | optimized geometry
data_InMoAu2
_space_group_name_H-M_alt 'I -4 m 2'
_space_group_IT_number 119
_space_group_name_Hall 'I -4 -2'
_cell_length_a 4.347
_cell_length_b 4.347
_cell_length_c 7.853
_cell_angle_alpha 90.00
_cell_angle_beta 90.00
_cell_angle_gamma 90.00
loop_
_atom_site_label
_atom_site_type_symbol
_atom_site_fract_x
_atom_site_fract_y
_atom_site_fract_z
In1 In 0.000 0.000 0.000
Mo1 Mo 0.000 0.500 0.750
Au1 Au 0.000 0.000 0.500
Au2 Au 0.000 0.500 0.250
# volume	18.55	Å³ per atom

=====

No. 5
# InMo2Au | Alexandria | GGA-PBE | optimized geometry
data_InMo2Au
_space_group_name_H-M_alt 'I m m 2'
_space_group_IT_number 44
_space_group_name_Hall 'I 2 -2'
_cell_length_a 3.418
_cell_length_b 4.701
_cell_length_c 8.881
_cell_angle_alpha 90.00
_cell_angle_beta 90.00
_cell_angle_gamma 90.00
loop_
_atom_site_label
_atom_site_type_symbol
_atom_site_fract_x
_atom_site_fract_y
_atom_site_fract_z
In1 In 0.000 0.000 0.000
Mo1 Mo 0.000 0.000 0.477
Mo2 Mo 0.000 0.500 0.769
Au1 Au 0.000 0.500 0.245
# volume	17.84	Å³ per atom

=====

No. 6
# InMo2Au | Alexandria | GGA-PBE | optimized geometry
data_InMo2Au
_space_group_name_H-M_alt 'P m m 2'
_space_group_IT_number 25
_space_group_name_Hall 'P 2 -2'
_cell_length_a 2.790
_cell_length_b 4.270
_cell_length_c 5.924
_cell_angle_alpha 90.00
_cell_angle_beta 90.00
_cell_angle_gamma 90.00
loop_
_atom_site_label
_atom_site_type_symbol
_atom_site_fract_x
_atom_site_fract_y
_atom_site_fract_z
In1 In 0.000 0.000 0.000
Mo1 Mo 0.000 0.000 0.484
Mo2 Mo 0.500 0.500 0.272
Au1 Au 0.500 0.500 0.747
# volume	17.64	Å³ per atom

=====

Q: Which spin magnetization values were calculated for the entries above? A: 2.66 0.00 0.00 2.41 0.00 0.00, in μB per formula unit.
Q: Which energy of formation from the pure elements values were calculated for the entries above? A: 504 257 226 309 230 319, in meV/atom.